[1]
Sb2TeAu: PBEsol geometry, SCAN.

a b c (Å): 4.1825 4.1825 20.3790
angles (deg): 90.00 90.00 120.00
Space group R3m (No. 160, hexagonal axes)
Asymmetric unit:
1 Sb 0.0000 0.0000 0.0000 (multiplicity 3)
2 Sb 0.0000 0.0000 0.2445 (multiplicity 3)
3 Te 0.0000 0.0000 0.7627 (multiplicity 3)
4 Au 0.0000 0.0000 0.5050 (multiplicity 3)

Results
Crystal system   trigonal
Total DFT energy (no corrections)   -543.87 eV for the cell shown

---

[2]
AlFeCl2: PBEsol geometry, SCAN.

a b c (Å): 3.2447 3.2447 24.2863
angles (deg): 90.00 90.00 120.00
Space group R-3m (No. 166, hexagonal axes)
Asymmetric unit:
1 Al 0.0000 0.0000 0.0000 (multiplicity 3)
2 Fe 0.0000 0.0000 0.5000 (multiplicity 3)
3 Cl 0.0000 0.0000 0.1154 (multiplicity 6)

Results
Energy above the lowest structure with this stoichiometry   227 meV/atom
Crystal system   trigonal

---

Number 1: calculated volume 25.7 Å³ per atom. Number 2: calculated volume 18.5 Å³ per atom.